Below is a relaxed ReAgPb2 crystal, with properties calculated at the PBEsol level.

## Properties
E_form ... 3.06 eV/f.u.
Calculated volume ... 20.191 Å³/atom
ΔE to the lowest computed polymorph ... 0.0737 eV per atom

Lattice parameters (Å, degrees): 3.514 3.514 6.542 90.00 90.00 90.00
Fractional coordinates of all 4 atoms:
Re: 0.500 0.500 0.500
Pb: 0.000 0.000 0.738
Pb: 0.000 0.000 0.262
Ag: 0.500 0.500 0.000